The following is a DFT calculation (GGA-PBE) of a geometry-optimized ErU2Ga9 structure.

For the electronic total energy, the calculation gives -58.423 eV for the cell shown.

Lattice parameters (Å, degrees): 4.2523 4.2523 12.7947 90.00 90.00 90.00
With the nearest neighbours (Å) after each atom.
Space group P4/mmm (No. 123)
Unique sites:
Er: 0.0000 0.0000 0.0000 (multiplicity 1)  12 Ga 3.01
U: 0.0000 0.0000 0.3322 (multiplicity 2)  12 Ga 3.00-3.02
Ga: 0.0000 0.5000 0.1666 (multiplicity 4)  2 U 3.00, 8 Ga 3.01-3.02, 2 Er 3.01
Ga: 0.0000 0.5000 0.5000 (multiplicity 2)  8 Ga 3.00-3.01, 4 U 3.02
Ga: 0.5000 0.5000 0.0000 (multiplicity 1)  4 Er 3.01, 8 Ga 3.01
Ga: 0.5000 0.5000 0.3345 (multiplicity 2)  8 Ga 3.00-3.02, 4 U 3.01

The following is a DFT calculation (GGA-PBE) of a geometry-optimized ErUGa2 structure.

For the electronic total energy, the calculation gives -66.670 eV for the cell shown.

Lattice parameters (Å, degrees): 3.1858 3.1858 29.6469 90.00 90.00 120.00
With the nearest neighbours (Å) after each atom.
Space group R-3m (No. 166, hexagonal axes)
Unique sites:
Er: 0.0000 0.0000 0.0000 (multiplicity 3)  6 Ga 3.06, 6 Er 3.19
U: 0.0000 0.0000 0.5000 (multiplicity 3)  6 Ga 3.10, 6 U 3.19
Ga: 0.0000 0.0000 0.2510 (multiplicity 6)  3 Er 3.06, 3 U 3.10, 6 Ga 3.19

The following is a DFT calculation (GGA-PBE) of a geometry-optimized ErU4Ga15 structure.

For the electronic total energy, the calculation gives -94.707 eV for the cell shown.

Lattice parameters (Å, degrees): 4.1961 4.1961 24.0049 90.00 90.00 90.00
With the nearest neighbours (Å) after each atom.
Space group P4/mmm (No. 123)
Unique sites:
Er: 0.0000 0.0000 0.0000 (multiplicity 1)  4 Ga 2.97, 2 U 2.99
U: 0.0000 0.0000 0.1246 (multiplicity 2)  8 Ga 2.97, 1 Er 2.99
U: 0.0000 0.0000 0.3018 (multiplicity 2)  12 Ga 2.97-3.03
Ga: 0.0000 0.5000 0.2120 (multiplicity 4)  4 U 2.97-3.01, 8 Ga 2.97-3.08
Ga: 0.0000 0.5000 0.3928 (multiplicity 4)  1 Ga 2.57
Ga: 0.0000 0.5000 0.5000 (multiplicity 2)  2 Ga 2.57
Ga: 0.5000 0.5000 0.0000 (multiplicity 1)  2 Ga 2.84, 4 Er 2.97
Ga: 0.5000 0.5000 0.1183 (multiplicity 2)  5 Ga 2.84-3.08, 4 U 2.97
Ga: 0.5000 0.5000 0.3012 (multiplicity 2)  4 U 2.97, 8 Ga 3.00-3.04

Question: Which value of electronic total energy does entry 1 give?
Answer: -58.423 eV for the cell shown

Question: Which of these has the highest electronic total energy?
Answer: ErU2Ga9

Question: Number 3 is which compound?
Answer: ErU4Ga15